[1]
# Ca2TmTe4Pb

An optimized crystal structure of Ca2TmTe4Pb (PBE, Alexandria via LeMat-Bulk).

Structure (extended XYZ):
```
8
Lattice="7.7680 0.0000 0.0000 0.0000 4.4717 0.0000 -2.5957 0.0000 7.3951" Properties=species:S:1:pos:R:3 pbc="T T T"
Ca 0.0000 0.0000 0.0000
Ca -1.2979 2.2359 3.6976
Tm 2.5862 0.0000 3.6976
Te 0.0258 0.0000 5.4660
Te 1.3179 2.2359 1.9296
Te 3.8544 2.2359 5.4656
Te 5.1466 0.0000 1.9291
Pb 3.8840 2.2359 0.0000
```

Calculated values
V: 256.9 Å³ per cell
Crystal system: monoclinic
Fermi-level density of states: 0.3922 states/eV per atom
Space-group type: P2/m
Energy: -4.26 eV per atom

---

[2]
# Zr2Pa5

An optimized crystal structure of Zr2Pa5 (PBE, Alexandria via LeMat-Bulk).

Structure (extended XYZ):
```
14
Lattice="14.0553 0.0000 0.0000 0.0000 3.1520 0.0000 -6.1679 0.0000 8.0941" Properties=species:S:1:pos:R:3 pbc="T T T"
Zr -0.6257 0.0000 3.3871
Zr 1.4854 1.5760 4.7070
Zr 6.4020 1.5760 3.3871
Zr 8.5131 0.0000 4.7070
Pa -3.0839 1.5760 4.0470
Pa -3.7560 0.0000 7.0655
Pa 1.2470 1.5760 1.3058
Pa -0.3873 0.0000 6.7883
Pa 4.6157 1.5760 1.0286
Pa 3.9437 0.0000 4.0470
Pa 3.2716 1.5760 7.0655
Pa 8.2747 0.0000 1.3058
Pa 6.6404 1.5760 6.7883
Pa 11.6434 0.0000 1.0286
```

Calculated values
ΔH_f (0 K): 223 kJ/mol of formula units
V: 358.6 Å³ per cell
Crystal system: monoclinic
Fermi-level density of states: 2.1337 states/eV per atom
Space-group type: C2/m
Energy: -8.90 eV per atom

---

[3]
# Ge3OsBr

An optimized crystal structure of Ge3OsBr (PBE, Alexandria via LeMat-Bulk).

Structure (extended XYZ):
```
5
Lattice="4.8305 0.0000 0.0000 0.0000 4.8305 0.0000 0.0000 0.0000 4.8305" Properties=species:S:1:pos:R:3 pbc="T T T"
Ge 0.0000 0.0000 2.4153
Ge 0.0000 2.4153 0.0000
Ge 2.4153 0.0000 0.0000
Os 0.0000 0.0000 0.0000
Br 2.4153 2.4153 2.4153
```

Calculated values
V: 112.7 Å³ per cell
Crystal system: cubic
Fermi-level density of states: 0.5758 states/eV per atom
Space-group type: Pm-3m
Energy: -5.28 eV per atom

---

[4]
# La7PrSm2

An optimized crystal structure of La7PrSm2 (PBE, Alexandria via LeMat-Bulk).

Structure (extended XYZ):
```
10
Lattice="6.4115 0.0000 0.0000 -1.0749 6.3394 0.0000 -3.1698 -2.7213 8.8638" Properties=species:S:1:pos:R:3 pbc="T T T"
La 0.0000 0.0000 0.0000
La -1.0459 -1.2626 6.2194
La 0.0139 3.2548 1.7602
La 1.0906 0.1690 3.5353
La 1.0761 3.4492 5.3285
La 2.1528 0.3634 7.1036
La 3.2126 4.8808 2.6444
Pr -2.1224 1.8091 4.4319
Sm -1.0408 1.9915 7.9897
Sm 3.2076 1.6266 0.8741
```

Calculated values
ΔH_f (0 K): 12 kJ/mol of formula units
V: 360.3 Å³ per cell
Crystal system: triclinic
Fermi-level density of states: 1.9145 states/eV per atom
Space-group type: P-1
Energy: -4.86 eV per atom

---

[5]
# Ba4TlN

An optimized crystal structure of Ba4TlN (PBE, Alexandria via LeMat-Bulk).

Structure (extended XYZ):
```
12
Lattice="5.4754 -9.1796 0.0000 5.4754 9.1796 0.0000 -5.4661 0.0000 5.4868" Properties=species:S:1:pos:R:3 pbc="T T T"
Ba -0.7446 5.5466 4.6809
Ba -0.7966 0.9659 3.4902
Ba 1.9365 -0.9659 0.7468
Ba 3.4963 5.5466 3.5494
Ba 1.9885 -5.5466 1.9374
Ba 3.5483 0.9659 4.7401
Ba 6.2814 -0.9659 1.9967
Ba 6.2293 -5.5466 0.8060
Tl 4.1089 2.2875 1.3717
Tl 1.3758 -2.2875 4.1151
N 1.3758 6.8776 4.1151
N 4.1089 -6.8776 1.3717
```

Calculated values
V: 551.6 Å³ per cell
Crystal system: monoclinic
Fermi-level density of states: 0.8886 states/eV per atom
Space-group type: C2/c
Energy: -3.37 eV per atom

---

[6]
# CsAlBi

An optimized crystal structure of CsAlBi (PBE, Alexandria via LeMat-Bulk).

Structure (extended XYZ):
```
6
Lattice="5.3129 0.0000 0.0000 0.0000 5.3129 0.0000 0.0000 0.0000 8.6199" Properties=species:S:1:pos:R:3 pbc="T T T"
Cs 1.3282 1.3282 1.4619
Cs 3.9846 3.9846 7.1580
Al 1.3282 3.9846 4.3100
Al 3.9846 1.3282 4.3100
Bi 1.3282 1.3282 5.6941
Bi 3.9846 3.9846 2.9258
```

Calculated values
ΔH_f (0 K): -49 kJ/mol of formula units
V: 243.3 Å³ per cell
Crystal system: tetragonal
Fermi-level density of states: 0.3694 states/eV per atom
Space-group type: P4/nmm
Energy: -3.00 eV per atom

---

[7]
# CrH2Br

An optimized crystal structure of CrH2Br (PBE, Alexandria via LeMat-Bulk).

Structure (extended XYZ):
```
16
Lattice="6.5131 0.0000 0.0000 0.0000 6.5131 0.0000 0.0000 0.0000 5.2917" Properties=species:S:1:pos:R:3 pbc="T T T"
Cr 0.0000 0.0000 0.0000
Cr 0.0000 3.2565 1.3229
Cr 3.2565 0.0000 3.9687
Cr 3.2565 3.2565 2.6458
H 0.0275 1.6283 0.6615
H 1.6283 3.2840 1.9844
H 1.6283 6.4855 4.6302
H 3.2290 1.6283 3.3073
H 3.2840 4.8848 3.3073
H 4.8848 0.0275 4.6302
H 4.8848 3.2290 1.9844
H 6.4855 4.8848 0.6615
Br 0.0000 0.0000 2.6458
Br 0.0000 3.2565 3.9687
Br 3.2565 0.0000 1.3229
Br 3.2565 3.2565 0.0000
```

Calculated values
V: 224.5 Å³ per cell
Crystal system: tetragonal
Fermi-level density of states: 0.0777 states/eV per atom
Space-group type: I-42d
Energy: -4.26 eV per atom

---

[8]
# ZrNb2Mo

An optimized crystal structure of ZrNb2Mo (PBE, Alexandria via LeMat-Bulk).

Structure (extended XYZ):
```
16
Lattice="7.4347 0.0000 0.0000 0.0000 7.4347 0.0000 0.0000 0.0000 5.7342" Properties=species:S:1:pos:R:3 pbc="T T T"
Zr 0.0000 0.0000 0.0000
Zr 0.0000 3.7174 1.4335
Zr 3.7174 0.0000 4.3006
Zr 3.7174 3.7174 2.8671
Nb 1.6485 1.8587 3.5839
Nb 1.8587 5.3658 5.0174
Nb 1.8587 5.7863 2.1503
Nb 2.0689 1.8587 0.7168
Nb 5.3658 5.5761 0.7168
Nb 5.5761 1.6485 2.1503
Nb 5.5761 2.0689 5.0174
Nb 5.7863 5.5761 3.5839
Mo 0.0000 0.0000 2.8671
Mo 0.0000 3.7174 4.3006
Mo 3.7174 0.0000 1.4335
Mo 3.7174 3.7174 0.0000
```

Calculated values
ΔH_f (0 K): 199 kJ/mol of formula units
V: 317.0 Å³ per cell
Crystal system: tetragonal
Fermi-level density of states: 0.8830 states/eV per atom
Space-group type: I-42d
Energy: -9.37 eV per atom

---

[9]
# Y3Fe5Se12

An optimized crystal structure of Y3Fe5Se12 (PBE, Alexandria via LeMat-Bulk).

Structure (extended XYZ):
```
80
Lattice="-7.7059 7.7059 7.7059 7.7059 -7.7059 7.7059 7.7059 7.7059 -7.7059" Properties=species:S:1:pos:R:3 pbc="T T T"
Y 3.8530 1.9265 0.0000
Y 7.7059 3.8530 -1.9265
Y 1.9265 0.0000 3.8530
Y 9.6324 0.0000 3.8530
Y 0.0000 3.8530 1.9265
Y 3.8530 -1.9265 7.7059
Y 3.8530 9.6324 0.0000
Y 7.7059 3.8530 5.7794
Y -1.9265 7.7059 3.8530
Y 5.7794 7.7059 3.8530
Y 0.0000 3.8530 9.6324
Y 3.8530 5.7794 7.7059
Fe 0.0000 0.0000 0.0000
Fe 3.8530 3.8530 -3.8530
Fe 3.8530 -3.8530 3.8530
Fe 7.7059 0.0000 0.0000
Fe 11.5589 1.9265 0.0000
Fe 7.7059 -3.8530 5.7794
Fe 5.7794 7.7059 -3.8530
Fe 5.7794 0.0000 3.8530
Fe 3.8530 5.7794 0.0000
Fe 7.7059 3.8530 1.9265
Fe -3.8530 3.8530 3.8530
Fe 0.0000 7.7059 0.0000
Fe 0.0000 0.0000 7.7059
Fe 3.8530 3.8530 3.8530
Fe 0.0000 3.8530 5.7794
Fe 3.8530 1.9265 7.7059
Fe 1.9265 7.7059 3.8530
Fe 1.9265 0.0000 11.5589
Fe 0.0000 11.5589 1.9265
Fe -3.8530 5.7794 7.7059
Se 2.2457 -0.4335 0.8695
Se 9.3131 4.7224 -4.2864
Se 9.9516 0.4335 0.8695
Se 9.3131 -2.9835 4.2864
Se 7.2724 -0.8695 2.2457
Se 11.9923 -1.6072 2.9835
Se 0.8695 2.2457 -0.4335
Se 10.6894 3.4195 -1.6072
Se 4.7224 4.2864 -1.6072
Se 6.8364 2.2457 0.4335
Se -0.4335 0.8695 2.2457
Se 4.2864 -1.6072 4.7224
Se 7.2724 6.8364 -2.2457
Se 4.2864 1.6072 2.9835
Se 4.7224 -4.2864 9.3131
Se 6.8364 -2.2457 7.2724
Se 2.9835 4.2864 1.6072
Se 8.5754 5.4602 0.4335
Se 4.2864 9.3131 -2.9835
Se 7.2724 0.8695 5.4602
Se 2.2457 7.2724 -0.8695
Se 9.3131 2.9835 3.4195
Se 1.6072 2.9835 4.2864
Se 2.2457 0.4335 6.8364
Se 5.4602 7.2724 0.8695
Se 6.0987 4.7224 3.4195
Se -1.6072 4.7224 4.2864
Se 5.4602 0.4335 8.5754
Se 0.4335 6.8364 2.2457
Se 3.4195 -1.6072 10.6894
Se -0.8695 2.2457 7.2724
Se 4.7224 3.4195 6.0987
Se 0.8695 9.9516 0.4335
Se 2.9835 11.9923 -1.6072
Se 3.4195 6.0987 4.7224
Se 0.4335 0.8695 9.9516
Se 3.4195 9.3131 2.9835
Se 8.1394 6.8364 5.4602
Se 0.8695 5.4602 7.2724
Se 2.9835 3.4195 9.3131
Se -2.9835 4.2864 9.3131
Se 6.8364 5.4602 8.1394
Se -4.2864 9.3131 4.7224
Se 0.4335 8.5754 5.4602
Se -1.6072 10.6894 3.4195
Se -2.2457 7.2724 6.8364
Se -1.6072 2.9835 11.9923
Se 5.4602 8.1394 6.8364
```

Calculated values
V: 1830.3 Å³ per cell
Crystal system: cubic
Fermi-level density of states: 0.9983 states/eV per atom
Space-group type: Ia-3d
Energy: -5.89 eV per atom

---

[10]
# ThAl5Ag7

An optimized crystal structure of ThAl5Ag7 (PBE, Alexandria via LeMat-Bulk).

Structure (extended XYZ):
```
13
Lattice="-2.7004 4.7066 4.6429 2.7004 -4.7066 4.6429 2.7004 4.7066 -4.6429" Properties=species:S:1:pos:R:3 pbc="T T T"
Th 0.0000 0.0000 0.0000
Al 2.7004 0.0000 2.0720
Al -1.3420 2.3984 2.3208
Al 1.3420 2.3984 2.3208
Al -1.3420 7.0148 2.3208
Al 1.3420 7.0148 2.3208
Ag 2.7004 1.9535 0.0417
Ag 0.0000 0.0000 3.1404
Ag 2.7004 -1.4440 4.5728
Ag 2.7004 1.4440 4.5728
Ag 0.0000 0.0000 6.0367
Ag 0.0000 4.7066 2.5812
Ag 0.0000 2.7531 4.6846
```

Calculated values
ΔH_f (0 K): -224 kJ/mol of formula units
V: 236.0 Å³ per cell
Crystal system: orthorhombic
Fermi-level density of states: 0.2054 states/eV per atom
Space-group type: Imm2
Energy: -3.72 eV per atom

---

[11]
# Ho3Mg2Pd4

An optimized crystal structure of Ho3Mg2Pd4 (PBE, Alexandria via LeMat-Bulk).

Structure (extended XYZ):
```
9
Lattice="4.9341 -2.1488 0.0000 4.9341 2.1488 0.0000 -0.5207 0.0000 9.0153" Properties=species:S:1:pos:R:3 pbc="T T T"
Ho 0.0000 0.0000 0.0000
Ho 3.3455 0.0000 5.5189
Ho 6.0021 0.0000 3.4964
Mg 3.1286 0.0000 1.8977
Mg 6.2190 0.0000 7.1176
Pd 0.4918 0.0000 5.6687
Pd 2.4465 0.0000 8.2004
Pd 6.9011 0.0000 0.8149
Pd 8.8558 0.0000 3.3466
```

Calculated values
ΔH_f (0 K): -653 kJ/mol of formula units
V: 191.2 Å³ per cell
Crystal system: monoclinic
Fermi-level density of states: 0.4368 states/eV per atom
Space-group type: C2/m
Energy: -4.94 eV per atom

---

[12]
# LiNdTiO4

An optimized crystal structure of LiNdTiO4 (PBE, Alexandria via LeMat-Bulk).

Structure (extended XYZ):
```
14
Lattice="3.7433 0.0000 0.0000 0.0000 3.7433 0.0000 0.0000 0.0000 12.2700" Properties=species:S:1:pos:R:3 pbc="T T T"
Li 0.9358 2.8075 0.0000
Li 2.8075 0.9358 0.0000
Nd 0.9358 0.9358 4.7156
Nd 2.8075 2.8075 7.5544
Ti 0.9358 0.9358 9.6978
Ti 2.8075 2.8075 2.5723
O 0.9358 0.9358 7.0505
O 0.9358 0.9358 11.4974
O 0.9358 2.8075 3.0741
O 0.9358 2.8075 9.1959
O 2.8075 0.9358 3.0741
O 2.8075 0.9358 9.1959
O 2.8075 2.8075 0.7726
O 2.8075 2.8075 5.2195
```

Calculated values
V: 171.9 Å³ per cell
Crystal system: tetragonal
Fermi-level density of states: 0.0000 states/eV per atom
Space-group type: P4/nmm
Energy: -7.93 eV per atom

---

no.,ρ (g/cm3)
1,6.2
2,12.4
3,7.2
4,6.5
5,4.6
6,5.0
7,4.0
8,7.8
9,5.4
10,7.9
11,8.4
12,5.1